Record 1
Compound: CaZnW2Cl
Source: Alexandria
Functional: PBE
Structure: relaxed

Computed properties:
Formation energy from raw total energies ... 1.15 eV/atom
Spin magnetization ... 0.00 μB per formula unit

```
data_CaZnW2Cl
_chemical_formula_sum 'Ca1 Zn1 W2 Cl1'
_cell_length_a 4.454
_cell_length_b 4.454
_cell_length_c 5.028
_cell_angle_alpha 90.00
_cell_angle_beta 90.00
_cell_angle_gamma 90.00
_space_group_name_H-M_alt 'P 4/m m m'
_space_group_IT_number 123
_space_group_name_Hall '-P 4 2'
loop_
_atom_site_label
_atom_site_type_symbol
_atom_site_fract_x
_atom_site_fract_y
_atom_site_fract_z
Ca1 Ca 0.000 0.000 0.000
Zn1 Zn 0.500 0.500 0.000
W1 W 0.000 0.500 0.500
Cl1 Cl 0.000 0.000 0.500
```

=====

Record 2
Compound: Ca2YCl
Source: Alexandria
Functional: PBE
Structure: relaxed

Computed properties:
E above lowest polymorph ... 0 meV/atom
Formation energy from raw total energies ... -0.77 eV/atom
Spin magnetization ... 0.24 μB per formula unit

```
data_Ca2YCl
_chemical_formula_sum 'Ca6 Y3 Cl3'
_cell_length_a 3.7596
_cell_length_b 3.7596
_cell_length_c 30.4739
_cell_angle_alpha 90.00
_cell_angle_beta 90.00
_cell_angle_gamma 120.00
_space_group_name_H-M_alt 'R -3 m'
_space_group_IT_number 166
_space_group_name_Hall '-R 3 2"'
loop_
_atom_site_label
_atom_site_type_symbol
_atom_site_fract_x
_atom_site_fract_y
_atom_site_fract_z
Ca1 Ca 0.0000 0.0000 0.2364
Y1 Y 0.0000 0.0000 0.0000
Cl1 Cl 0.0000 0.0000 0.5000
```

=====

Record 3
Compound: CaYCl2
Source: Alexandria
Functional: PBE
Structure: relaxed

Computed properties:
E above lowest polymorph ... 345 meV/atom
Formation energy from raw total energies ... -1.14 eV/atom
Spin magnetization ... 0.71 μB per formula unit

```
data_CaYCl2
_chemical_formula_sum 'Ca4 Y4 Cl8'
_cell_length_a 6.346
_cell_length_b 6.346
_cell_length_c 12.509
_cell_angle_alpha 90.00
_cell_angle_beta 90.00
_cell_angle_gamma 90.00
_space_group_name_H-M_alt 'I -4 2 d'
_space_group_IT_number 122
_space_group_name_Hall 'I -4 2bw'
loop_
_atom_site_label
_atom_site_type_symbol
_atom_site_fract_x
_atom_site_fract_y
_atom_site_fract_z
Ca1 Ca 0.000 0.000 0.000
Y1 Y 0.000 0.000 0.500
Cl1 Cl 0.250 0.250 0.125
```

=====

Record 4
Compound: CaYCl2
Source: Alexandria
Functional: PBE
Structure: relaxed

Computed properties:
E above lowest polymorph ... 494 meV/atom
Formation energy from raw total energies ... -0.99 eV/atom
Spin magnetization ... 0.54 μB per formula unit

```
data_CaYCl2
_chemical_formula_sum 'Ca1 Y1 Cl2'
_cell_length_a 4.988
_cell_length_b 4.988
_cell_length_c 3.544
_cell_angle_alpha 90.00
_cell_angle_beta 90.00
_cell_angle_gamma 90.00
_space_group_name_H-M_alt 'P 4/m m m'
_space_group_IT_number 123
_space_group_name_Hall '-P 4 2'
loop_
_atom_site_label
_atom_site_type_symbol
_atom_site_fract_x
_atom_site_fract_y
_atom_site_fract_z
Ca1 Ca 0.000 0.000 0.000
Y1 Y 0.500 0.500 0.000
Cl1 Cl 0.000 0.500 0.500
```

=====

Record 5
Compound: CaYCl3
Source: Alexandria
Functional: PBE
Structure: relaxed

Computed properties:
E above lowest polymorph ... 0 meV/atom
Formation energy from raw total energies ... -1.44 eV/atom
Spin magnetization ... 0.01 μB per formula unit

```
data_CaYCl3
_chemical_formula_sum 'Ca1 Y1 Cl3'
_cell_length_a 5.350
_cell_length_b 5.350
_cell_length_c 5.350
_cell_angle_alpha 90.00
_cell_angle_beta 90.00
_cell_angle_gamma 90.00
_space_group_name_H-M_alt 'P m -3 m'
_space_group_IT_number 221
_space_group_name_Hall '-P 4 2 3'
loop_
_atom_site_label
_atom_site_type_symbol
_atom_site_fract_x
_atom_site_fract_y
_atom_site_fract_z
Ca1 Ca 0.000 0.000 0.000
Y1 Y 0.500 0.500 0.500
Cl1 Cl 0.000 0.500 0.500
```

=====

Record 6
Compound: CaYCl2
Source: Alexandria
Functional: PBE
Structure: relaxed

Computed properties:
E above lowest polymorph ... 317 meV/atom
Formation energy from raw total energies ... -1.17 eV/atom
Spin magnetization ... 0.00 μB per formula unit

```
data_CaYCl2
_chemical_formula_sum 'Ca2 Y2 Cl4'
_cell_length_a 3.934
_cell_length_b 3.934
_cell_length_c 14.345
_cell_angle_alpha 90.00
_cell_angle_beta 90.00
_cell_angle_gamma 90.00
_space_group_name_H-M_alt 'I -4 m 2'
_space_group_IT_number 119
_space_group_name_Hall 'I -4 -2'
loop_
_atom_site_label
_atom_site_type_symbol
_atom_site_fract_x
_atom_site_fract_y
_atom_site_fract_z
Ca1 Ca 0.000 0.000 0.000
Y1 Y 0.000 0.500 0.250
Cl1 Cl 0.000 0.000 0.500
Cl2 Cl 0.000 0.500 0.750
```

=====

Record 7
Compound: Ca2YCl
Source: Alexandria
Functional: PBE
Structure: relaxed

Computed properties:
E above lowest polymorph ... 102 meV/atom
Formation energy from raw total energies ... -0.67 eV/atom
Spin magnetization ... 0.38 μB per formula unit

```
data_Ca2YCl
_chemical_formula_sum 'Ca2 Y1 Cl1'
_cell_length_a 3.578
_cell_length_b 3.578
_cell_length_c 9.722
_cell_angle_alpha 90.00
_cell_angle_beta 90.00
_cell_angle_gamma 90.00
_space_group_name_H-M_alt 'P 4/m m m'
_space_group_IT_number 123
_space_group_name_Hall '-P 4 2'
loop_
_atom_site_label
_atom_site_type_symbol
_atom_site_fract_x
_atom_site_fract_y
_atom_site_fract_z
Ca1 Ca 0.000 0.000 0.220
Y1 Y 0.500 0.500 0.500
Cl1 Cl 0.500 0.500 0.000
```

=====

Record 8
Compound: Ca2YCl
Source: Alexandria
Functional: PBE
Structure: relaxed

Computed properties:
E above lowest polymorph ... 501 meV/atom
Formation energy from raw total energies ... -0.27 eV/atom
Spin magnetization ... 0.00 μB per formula unit

```
data_Ca2YCl
_chemical_formula_sum 'Ca2 Y1 Cl1'
_cell_length_a 5.911
_cell_length_b 3.719
_cell_length_c 6.479
_cell_angle_alpha 90.00
_cell_angle_beta 109.18
_cell_angle_gamma 90.00
_space_group_name_H-M_alt 'P 1 2/m 1'
_space_group_IT_number 10
loop_
_space_group_symop_operation_xyz
'x,y,z'
'-x,-y,-z'
'-x,y,-z'
'x,-y,z'
loop_
_atom_site_label
_atom_site_type_symbol
_atom_site_fract_x
_atom_site_fract_y
_atom_site_fract_z
Ca1 Ca 0.000 0.000 0.000
Ca2 Ca 0.000 0.500 0.500
Y1 Y 0.500 0.000 0.500
Cl1 Cl 0.500 0.500 0.000
```